Entry 1:
Below is ReAu after structural relaxation, with properties calculated at the GGA-PBE level.

Results
ΔH_f (0 K): 43.30 kJ per mole of atoms
symmetry: Pmmn, No. 59
total DFT energy (no corrections): -7.414 eV per atom
energy above the most stable polymorph in this dataset: 305 meV/atom

Cell lengths 2.776, 4.557, 5.108 Å; angles 90.00, 90.00, 90.00 degrees
Fractional coordinates of all 4 atoms:
Re 0.250 0.250 0.077
Re 0.750 0.750 0.923
Au 0.250 0.750 0.409
Au 0.750 0.250 0.591


Entry 2:
Below is BaPaIr2O8 after structural relaxation, with properties calculated at the GGA-PBE level.

Results
symmetry: P-3, No. 147
total DFT energy (no corrections): -7.059 eV per atom

Cell lengths 5.688, 5.688, 7.048 Å; angles 90.00, 90.00, 120.00 degrees
Fractional coordinates of all 12 atoms:
Ba 0.000 0.000 0.000
Pa 0.000 0.000 0.500
Ir 0.333 0.667 0.443
Ir 0.667 0.333 0.557
O 0.076 0.381 0.631
O 0.306 0.924 0.631
O 0.333 0.667 0.179
O 0.381 0.306 0.369
O 0.619 0.694 0.631
O 0.667 0.333 0.821
O 0.694 0.076 0.369
O 0.924 0.619 0.369


Entry 3:
Below is SrTi2Bi2O7 after structural relaxation, with properties calculated at the GGA-PBE level.

Results
symmetry: Imm2, No. 44
total DFT energy (no corrections): -7.246 eV per atom

Cell lengths 10.758, 10.758, 10.758 Å; angles 159.42, 33.75, 153.55 degrees
Fractional coordinates of all 12 atoms:
Sr 0.000 0.000 0.000
Ti 0.386 0.974 0.412
Ti 0.563 0.974 0.588
Bi 0.367 0.164 0.203
Bi 0.960 0.164 0.797
O 0.213 0.898 0.316
O 0.257 0.355 0.903
O 0.346 0.846 0.500
O 0.452 0.355 0.097
O 0.582 0.898 0.684
O 0.746 0.324 0.422
O 0.902 0.324 0.578


Entry 4:
Below is Li4Tl2Pb5 after structural relaxation, with properties calculated at the GGA-PBE level.

Results
ΔH_f (0 K): -14.18 kJ per mole of atoms
symmetry: P-1, No. 2
total DFT energy (no corrections): -2.959 eV per atom

Cell lengths 4.777, 6.066, 10.594 Å; angles 80.37, 89.45, 68.31 degrees
Fractional coordinates of all 11 atoms:
Li 0.037 0.418 0.321
Li 0.316 0.873 0.226
Li 0.684 0.127 0.774
Li 0.963 0.582 0.679
Tl 0.433 0.647 0.845
Tl 0.567 0.353 0.155
Pb 0.145 0.209 0.952
Pb 0.212 0.069 0.596
Pb 0.500 0.500 0.500
Pb 0.788 0.931 0.404
Pb 0.855 0.791 0.048


Entry 5:
Below is LiTiTe4 after structural relaxation, with properties calculated at the GGA-PBE level.

Results
symmetry: P2_1/c, No. 14
total DFT energy (no corrections): -4.247 eV per atom
energy above the most stable polymorph in this dataset: 0 meV/atom

Cell lengths 6.919, 6.955, 6.917 Å; angles 90.00, 90.08, 90.00 degrees
Fractional coordinates of all 12 atoms:
Li 0.000 0.000 0.000
Li 0.000 0.500 0.500
Ti 0.500 0.000 0.500
Ti 0.500 0.500 0.000
Te 0.129 0.108 0.387
Te 0.129 0.392 0.887
Te 0.398 0.631 0.369
Te 0.398 0.869 0.869
Te 0.602 0.131 0.131
Te 0.602 0.369 0.631
Te 0.871 0.608 0.113
Te 0.871 0.892 0.613


Entry 6:
Below is Li2Hg2Pb after structural relaxation, with properties calculated at the GGA-PBE level.

Results
ΔH_f (0 K): -16.86 kJ per mole of atoms
symmetry: I4/mmm, No. 139
total DFT energy (no corrections): -1.803 eV per atom
energy above the most stable polymorph in this dataset: 97 meV/atom

Cell lengths 7.502, 7.502, 7.502 Å; angles 148.51, 148.51, 45.13 degrees
Fractional coordinates of all 5 atoms:
Li 0.250 0.750 0.500
Li 0.750 0.250 0.500
Hg 0.116 0.116 0.000
Hg 0.884 0.884 0.000
Pb 0.500 0.500 0.000